[1]
Pd2CI at its PBEsol-relaxed geometry, computed with meta-GGA SCAN.

As for the uncorrected energy: -439.495 eV/cell.

It has space group I-42d (No. 122), with a = 5.321 Å, b = 5.321 Å, c = 10.693 Å, α = 90.00°, β = 90.00° and γ = 90.00°. The inequivalent atoms are Pd at (0.117, 0.250, 0.125), C at (0.000, 0.000, 0.000) and I at (0.000, 0.000, 0.500).

[2]
Ba2LaP at its PBEsol-relaxed geometry, computed with meta-GGA SCAN.

The value obtained for the formation energy is -0.1 eV per formula unit.

It has space group F-43m (No. 216), with a = 7.791 Å, b = 7.791 Å, c = 7.791 Å, α = 90.00°, β = 90.00° and γ = 90.00°. The inequivalent atoms are Ba at (0.000, 0.000, 0.000), Ba at (0.250, 0.250, 0.250), La at (0.250, 0.250, 0.750) and P at (0.000, 0.000, 0.500).

[3]
Mg5Cu at its PBEsol-relaxed geometry, computed with meta-GGA SCAN.

The value obtained for the formation energy is 0.1 eV per formula unit. As for the energy above the most stable polymorph in this dataset: 49 meV per atom.

It has space group Amm2 (No. 38), with a = 4.851 Å, b = 3.148 Å, c = 15.472 Å, α = 90.00°, β = 90.00° and γ = 90.00°. The inequivalent atoms are Mg at (0.000, 0.000, 0.000), Mg at (0.000, 0.000, 0.304), Mg at (0.500, 0.000, 0.194), Mg at (0.500, 0.000, 0.537), Mg at (0.500, 0.000, 0.869) and Cu at (0.000, 0.000, 0.649).

[4]
AgAu at its PBEsol-relaxed geometry, computed with meta-GGA SCAN.

The value obtained for the formation energy is -0.1 eV per formula unit.

It has space group Fd-3m (No. 227, origin choice 2), with a = 6.455 Å, b = 6.455 Å, c = 6.455 Å, α = 90.00°, β = 90.00° and γ = 90.00°. The inequivalent atoms are Ag at (0.125, 0.125, 0.125) and Au at (0.125, 0.125, 0.625).

[5]
SrWIN2 at its PBEsol-relaxed geometry, computed with meta-GGA SCAN.

As for the uncorrected energy: -136.022 eV/cell.

It has space group P4/mmm (No. 123), with a = 4.600 Å, b = 4.600 Å, c = 6.694 Å, α = 90.00°, β = 90.00° and γ = 90.00°. The inequivalent atoms are Sr at (0.000, 0.000, 0.000), W at (0.500, 0.500, 0.500), I at (0.000, 0.000, 0.500) and N at (0.000, 0.500, 0.000).

[6]
ScTcPt2 at its PBEsol-relaxed geometry, computed with meta-GGA SCAN.

The value obtained for the formation energy is -2.7 eV per formula unit. As for the energy above the most stable polymorph in this dataset: 111 meV per atom.

It has space group P4/mmm (No. 123), with a = 2.781 Å, b = 2.781 Å, c = 7.936 Å, α = 90.00°, β = 90.00° and γ = 90.00°. The inequivalent atoms are Sc at (0.000, 0.000, 0.000), Tc at (0.000, 0.000, 0.500) and Pt at (0.500, 0.500, 0.260).

[7]
Mn3O5F at its PBEsol-relaxed geometry, computed with meta-GGA SCAN.

As for the energy above the most stable polymorph in this dataset: 15 meV per atom.

It has space group P2_1 (No. 4), with a = 5.329 Å, b = 4.460 Å, c = 7.333 Å, α = 90.00°, β = 94.25° and γ = 90.00°. The inequivalent atoms are Mn at (0.075, 0.000, 0.335), Mn at (0.251, 0.537, 0.989), Mn at (0.409, 0.035, 0.663), O at (0.045, 0.826, 0.102), O at (0.120, 0.216, 0.560), O at (0.214, 0.718, 0.764), O at (0.378, 0.829, 0.434), O at (0.454, 0.218, 0.899) and F at (0.281, 0.324, 0.231).

[8]
LiAc2Tl at its PBEsol-relaxed geometry, computed with meta-GGA SCAN.

The value obtained for the formation energy is -1.3 eV per formula unit.

It has space group Fm-3m (No. 225), with a = 8.041 Å, b = 8.041 Å, c = 8.041 Å, α = 90.00°, β = 90.00° and γ = 90.00°. The inequivalent atoms are Li at (0.000, 0.000, 0.000), Ac at (0.250, 0.250, 0.250) and Tl at (0.000, 0.000, 0.500).

[9]
AgHg2WBr at its PBEsol-relaxed geometry, computed with meta-GGA SCAN.

As for the uncorrected energy: -247.951 eV/cell.

It has space group P4/mmm (No. 123), with a = 5.712 Å, b = 5.712 Å, c = 4.736 Å, α = 90.00°, β = 90.00° and γ = 90.00°. The inequivalent atoms are Ag at (0.000, 0.000, 0.000), Hg at (0.000, 0.500, 0.500), W at (0.500, 0.500, 0.000) and Br at (0.000, 0.000, 0.500).

[10]
TiAlPd3 at its PBEsol-relaxed geometry, computed with meta-GGA SCAN.

The value obtained for the formation energy is 2.6 eV per formula unit.

It has space group Pm-3m (No. 221), with a = 4.570 Å, b = 4.570 Å, c = 4.570 Å, α = 90.00°, β = 90.00° and γ = 90.00°. The inequivalent atoms are Ti at (0.000, 0.000, 0.000), Al at (0.500, 0.500, 0.500) and Pd at (0.000, 0.000, 0.500).

[11]
TiP2O7 at its PBEsol-relaxed geometry, computed with meta-GGA SCAN.

As for the energy above the most stable polymorph in this dataset: 13 meV per atom.

It has space group Pa-3 (No. 205), with a = 8.160 Å, b = 8.160 Å, c = 8.160 Å, α = 90.00°, β = 90.00° and γ = 90.00°. The inequivalent atoms are Ti at (0.000, 0.000, 0.000), P at (0.112, 0.612, 0.888), O at (0.000, 0.000, 0.500) and O at (0.059, 0.713, 0.416).

[12]
Ag2Se at its PBEsol-relaxed geometry, computed with meta-GGA SCAN.

As for the uncorrected energy: -165.514 eV/cell.

It has space group I4/mmm (No. 139), with a = 3.609 Å, b = 3.609 Å, c = 8.343 Å, α = 90.00°, β = 90.00° and γ = 90.00°. The inequivalent atoms are Ag at (0.000, 0.000, 0.168) and Se at (0.000, 0.000, 0.500).

What did the fourth record say?
AgAu at its PBEsol-relaxed geometry, computed with meta-GGA SCAN.

The value obtained for the formation energy is -0.1 eV per formula unit.

It has space group Fd-3m (No. 227, origin choice 2), with a = 6.455 Å, b = 6.455 Å, c = 6.455 Å, α = 90.00°, β = 90.00° and γ = 90.00°. The inequivalent atoms are Ag at (0.125, 0.125, 0.125) and Au at (0.125, 0.125, 0.625).